# ZrMn2Si

A geometry-optimized ZrMn2Si structure (PBE-GGA, Alexandria via LeMat-Bulk).

Properties
* formation energy (no corrections): -243 meV per atom
* raw total energy: -0.30577 hartree per atom
* space group: P4/mmm (123)
* spin magnetization: 2.67 μB per cell

Geometry as POSCAR:
```
ZrMn2Si
1.0
-0.308 1.694 3.704
-3.289 -2.291 0.774
1.975 -2.407 1.265
Mn Si Zr
2 1 1
Direct
0.000 0.000 0.000
0.500 0.500 0.000
0.500 0.000 0.500
0.000 0.500 0.500
```